Density functional theory data (PBE) for an optimized crystal structure of U2TcP.

Values from the calculation:
formation energy: -0.35 eV per atom
DOS at the Fermi energy: 6.88 states/eV per cell
size of the total moment: 0.053 μB/atom
distance to the lowest polymorph of the same formula: 123 meV per atom

Unit cell a=4.0558 b=4.0558 c=4.2003 alpha=90.00 beta=90.00 gamma=90.00
With the nearest neighbours (Å) after each atom.
Space group P4/mmm (No. 123)
One atom of each set of equivalent atoms:
U 0.0000 0.5000 0.0000 [2 per cell]  4 U 2.87, 4 Tc 2.92, 4 P 2.92
Tc 0.0000 0.0000 0.5000 [1 per cell]  4 P 2.87, 8 U 2.92
P 0.5000 0.5000 0.5000 [1 per cell]  4 Tc 2.87, 8 U 2.92

Density functional theory data (PBE) for an optimized crystal structure of TlRuAu4.

Values from the calculation:
formation energy: 0.50 eV per atom
DOS at the Fermi energy: 31.59 states/eV per cell
size of the total moment: 0.386 μB/atom

Unit cell a=7.8376 b=7.8376 c=7.8376 alpha=90.00 beta=90.00 gamma=90.00
With the nearest neighbours (Å) after each atom.
Space group F-43m (No. 216)
One atom of each set of equivalent atoms:
Tl 0.0000 0.0000 0.0000 [4 per cell]  12 Au 3.25, 4 Ru 3.39
Ru 0.2500 0.2500 0.2500 [4 per cell]  12 Au 3.25, 4 Tl 3.39
Au 0.1246 0.1246 0.6246 [16 per cell]  6 Au 2.76-2.78

Density functional theory data (PBE) for an optimized crystal structure of Ti4As3O.

Values from the calculation:
DOS at the Fermi energy: 9.45 states/eV per cell
formation energy without anion corrections: -1115 meV/atom
size of the total moment: 0.000 μB/atom

Unit cell a=9.5449 b=5.5175 c=4.9351 alpha=90.00 beta=90.00 gamma=90.00
With the nearest neighbours (Å) after each atom.
Space group Pmn2_1 (No. 31)
One atom of each set of equivalent atoms:
Ti 0.0000 0.1693 0.0000 [2 per cell]  1 O 1.99
Ti 0.0000 0.8155 0.4617 [2 per cell]  1 O 2.01
Ti 0.2233 0.1688 0.4459 [4 per cell]  1 O 2.14
As 0.0000 0.6774 0.9587 [2 per cell]  6 Ti 2.57-2.81
As 0.2466 0.3117 0.9458 [4 per cell]  5 Ti 2.50-2.67
O 0.0000 0.1756 0.4031 [2 per cell]  4 Ti 1.99-2.14

Density functional theory data (PBE) for an optimized crystal structure of Er4Tc.

Values from the calculation:
formation energy: 0.03 eV per atom
DOS at the Fermi energy: 9.20 states/eV per cell
size of the total moment: 0.000 μB/atom
distance to the lowest polymorph of the same formula: 0 meV per atom

Unit cell a=6.3275 b=7.6278 c=6.1163 alpha=90.00 beta=107.88 gamma=90.00
With the nearest neighbours (Å) after each atom.
Space group P2/c (No. 13)
One atom of each set of equivalent atoms:
Er 0.2279 0.1446 0.0268 [4 per cell]  2 Tc 2.74-2.77
Er 0.2574 0.3876 0.5157 [4 per cell]  1 Tc 2.68
Tc 0.5000 0.1220 0.7500 [2 per cell]  6 Er 2.68-2.77

Density functional theory data (PBE) for an optimized crystal structure of MgCrRu2C.

Values from the calculation:
formation energy: 0.04 eV per atom
DOS at the Fermi energy: 4.51 states/eV per cell
size of the total moment: 0.494 μB/atom

Unit cell a=4.0909 b=4.0909 c=3.9453 alpha=90.00 beta=90.00 gamma=90.00
With the nearest neighbours (Å) after each atom.
Space group P4/mmm (No. 123)
One atom of each set of equivalent atoms:
Mg 0.0000 0.0000 0.0000 [1 per cell]  8 Ru 2.84, 4 Cr 2.89
Cr 0.5000 0.5000 0.0000 [1 per cell]  2 C 1.97
Ru 0.0000 0.5000 0.5000 [2 per cell]  2 C 2.05
C 0.5000 0.5000 0.5000 [1 per cell]  2 Cr 1.97, 4 Ru 2.05

Density functional theory data (PBE) for an optimized crystal structure of NaBrO3.

Values from the calculation:
DOS at the Fermi energy: 0.00 states/eV per cell
formation energy without anion corrections: -530 meV/atom
size of the total moment: 0.015 μB/atom

Unit cell a=7.1967 b=7.1967 c=7.1967 alpha=90.00 beta=90.00 gamma=90.00
With the nearest neighbours (Å) after each atom.
Space group P2_13 (No. 198)
One atom of each set of equivalent atoms:
Na 0.1401 0.3599 0.6401 [4 per cell]  6 O 2.46-2.52
Br 0.0276 0.9724 0.4724 [4 per cell]  3 O 1.69
O 0.0148 0.6874 0.1119 [12 per cell]  1 Br 1.69

Question: The highest DOS at the Fermi energy belongs to which entry?
Answer: TlRuAu4

Question: Number 6 is which compound?
Answer: NaBrO3

Question: What is the formula in the first record?
Answer: U2TcP

Question: Which of these has the lowest DOS at the Fermi energy?
Answer: NaBrO3